Compound: Mg14CrSn
Source: the Alexandria database
Functional: PBE-GGA
Structure: relaxed

Summary:
Formation energy (meV/atom): 37
Calculated total energy (eV per atom): -2.2096
SG: Amm2

Unit cell a=6.3333 b=6.3333 c=10.2847 alpha=90.00 beta=90.00 gamma=120.38
With the nearest neighbours (Å) after each atom.
Element x y z (fractional)
1 Mg 0.8334 0.6687 0.0000  12 Mg 3.14-3.21
2 Mg 0.6611 0.8287 0.2568  1 Cr 3.08, 10 Mg 3.08-3.22, 1 Sn 3.12
3 Mg 0.3332 0.6669 0.0000  12 Mg 3.15-3.19
4 Mg 0.3342 0.1651 0.5000  8 Mg 3.11-3.16, 2 Sn 3.13-3.20, 2 Cr 3.14-3.19
5 Mg 0.3313 0.1666 0.0000  12 Mg 3.14-3.21
6 Mg 0.1697 0.8303 0.2554  1 Cr 3.09, 11 Mg 3.11-3.22
7 Mg 0.8349 0.6658 0.5000  8 Mg 3.11-3.16, 2 Sn 3.13-3.20, 2 Cr 3.14-3.19
8 Mg 0.6659 0.3341 0.7517  11 Mg 3.14-3.19, 1 Sn 3.16
9 Mg 0.6611 0.8287 0.7432  1 Cr 3.08, 10 Mg 3.08-3.22, 1 Sn 3.12
10 Mg 0.1713 0.3389 0.2568  1 Cr 3.08, 10 Mg 3.08-3.22, 1 Sn 3.12
11 Mg 0.8337 0.1663 0.0000  12 Mg 3.15-3.22
12 Mg 0.6659 0.3341 0.2483  11 Mg 3.14-3.19, 1 Sn 3.16
13 Mg 0.1697 0.8303 0.7446  1 Cr 3.09, 11 Mg 3.11-3.22
14 Mg 0.1713 0.3389 0.7432  1 Cr 3.08, 10 Mg 3.08-3.22, 1 Sn 3.12
15 Cr 0.3323 0.6677 0.5000  10 Mg 3.08-3.19, 2 Sn 3.15
16 Sn 0.8311 0.1689 0.5000  10 Mg 3.12-3.20, 2 Cr 3.15